First-principles (PBE-GGA) data for an optimized crystal structure of LaHoTm2P4, as listed in Alexandria.

Calculated values
Spin magnetization, μB per cell: 0.000
Formation energy, eV/atom: -1.575
Space group: P2/m
Crystal system: monoclinic
Raw total energy, eV/f.u.: -52.69

```
LaHoTm2P4
1.0
6.998 0.000 0.000
0.000 4.044 0.000
-2.329 0.000 6.603
La Ho Tm P
1 1 2 4
Direct
0.000 0.000 0.000
0.000 0.500 0.500
0.500 0.000 0.500
0.500 0.500 0.000
0.257 0.000 0.746
0.263 0.500 0.261
0.737 0.500 0.739
0.743 0.000 0.254
```